1.
Here is a geometry-optimized Hf5CdSb3 structure from OQMD via LeMat-Bulk. Energies are from PBE.

Summary:
The crystal system is hexagonal. The calculated total energy comes out at -0.2719 hartree per atom. Its spin magnetization is 0.00 μB/cell. As for the volume: 382 Å³ per cell.

Lattice parameters (Å, degrees): 8.6998 8.6998 5.8327 90.00 90.00 120.00
Last column: nearest neighbours and their distance in Å.
Positions (direct):
1 Hf 0.2853 0.2853 0.7500  2 Cd 2.88, 5 Sb 2.91-3.03
2 Cd 0.0000 0.0000 0.0000  6 Hf 2.88, 2 Cd 2.92
3 Hf 0.3333 0.6667 0.5000  2 Hf 2.92, 6 Sb 3.09
4 Sb 0.0000 0.3798 0.7500  9 Hf 2.91-3.09
5 Hf 0.0000 0.2853 0.2500  2 Cd 2.88, 5 Sb 2.91-3.03
6 Sb 0.6202 0.0000 0.2500  9 Hf 2.91-3.09
7 Hf 0.6667 0.3333 0.0000  2 Hf 2.92, 6 Sb 3.09
8 Sb 0.6202 0.6202 0.7500  9 Hf 2.91-3.09
9 Hf 0.3333 0.6667 0.0000  2 Hf 2.92, 6 Sb 3.09
10 Hf 0.7147 0.0000 0.7500  2 Cd 2.88, 5 Sb 2.91-3.03
11 Hf 0.0000 0.7147 0.7500  2 Cd 2.88, 5 Sb 2.91-3.03
12 Hf 0.6667 0.3333 0.5000  2 Hf 2.92, 6 Sb 3.09
13 Cd 0.0000 0.0000 0.5000  6 Hf 2.88, 2 Cd 2.92
14 Hf 0.7147 0.7147 0.2500  2 Cd 2.88, 5 Sb 2.91-3.03
15 Sb 0.0000 0.6202 0.2500  9 Hf 2.91-3.09
16 Sb 0.3798 0.0000 0.7500  9 Hf 2.91-3.09
17 Sb 0.3798 0.3798 0.2500  9 Hf 2.91-3.09
18 Hf 0.2853 0.0000 0.2500  2 Cd 2.88, 5 Sb 2.91-3.03

=====

2.
Here is a geometry-optimized HfCdSb2 structure from OQMD via LeMat-Bulk. Energies are from PBE.

Summary:
The crystal system is cubic. The calculated total energy comes out at -0.1662 hartree per atom. Its spin magnetization is 0.01 μB/cell. As for the volume: 97 Å³ per cell.

Lattice parameters (Å, degrees): 5.1598 5.1598 5.1598 60.00 60.00 60.00
Last column: nearest neighbours and their distance in Å.
Positions (direct):
1 Sb 0.2500 0.2500 0.2500  4 Hf 3.16, 4 Sb 3.16
2 Cd 0.7500 0.7500 0.7500  4 Sb 3.16, 4 Hf 3.16
3 Hf 0.5000 0.5000 0.5000  4 Sb 3.16, 4 Cd 3.16
4 Sb 0.0000 0.0000 0.0000  4 Cd 3.16, 4 Sb 3.16